# YAuIO2, optimized geometry, DFT PBE
# energy relative to the elements, uncorrected = -0.20 eV/atom
# symmetry = P4/mmm
# magnetization = 0.0 Bohr magnetons per cell
# offset from the most stable computed form = 857 meV/atom
# DFT total energy = -22.20 eV/cell
data_YAuIO2
_cell_length_a 4.378
_cell_length_b 4.378
_cell_length_c 5.214
_cell_angle_alpha 90.00
_cell_angle_beta 90.00
_cell_angle_gamma 90.00
_space_group_name_H-M_alt 'P 1'
_space_group_IT_number 1
loop_
_space_group_symop_operation_xyz
'x,y,z'
loop_
_atom_site_label
_atom_site_type_symbol
_atom_site_fract_x
_atom_site_fract_y
_atom_site_fract_z
Y1 Y 0.000 0.000 0.000
Au1 Au 0.500 0.500 0.500
I1 I 0.500 0.500 0.000
O1 O 0.000 0.500 0.500
O2 O 0.500 0.000 0.500